Record 1
DFT (PBE-GGA) results for an optimized crystal structure of Re4C.

a b c (Å): 6.5065 6.5065 6.5065
angles (deg): 146.16 146.16 48.61
Closest atoms and distances in Å follow each position.
Sites, in units of the cell vectors:
Re1 0.3936 0.3936 0.0000  5 Re 2.52-2.55
Re2 0.7500 0.2500 0.5000  8 Re 2.55-2.68
Re3 0.2500 0.7500 0.5000  8 Re 2.55-2.68
C1 0.0000 0.0000 0.0000  8 Re 2.96
Re4 0.6064 0.6064 0.0000  5 Re 2.52-2.55

**Uncorrected energy**: -9.995 eV/atom
**Relative energy among the computed polymorphs**: 1513 meV per atom

Record 2
DFT (PBE-GGA) results for an optimized crystal structure of Re2C.

a b c (Å): 2.9676 2.9676 4.1518
angles (deg): 90.00 90.00 90.00
Closest atoms and distances in Å follow each position.
Sites, in units of the cell vectors:
Re1 0.0000 0.0000 0.5000  2 C 2.08
C1 0.0000 0.0000 0.0000  6 Re 2.08-2.10
Re2 0.5000 0.5000 0.0000  4 C 2.10

**Uncorrected energy**: -10.865 eV/atom
**Relative energy among the computed polymorphs**: 542 meV per atom

Record 3
DFT (PBE-GGA) results for an optimized crystal structure of ReC3.

a b c (Å): 4.3285 4.3285 4.3285
angles (deg): 138.99 138.99 59.39
Closest atoms and distances in Å follow each position.
Sites, in units of the cell vectors:
C1 0.5000 0.5000 0.0000  4 Re 2.14
Re1 0.0000 0.0000 0.0000  4 C 2.14
C2 0.2500 0.7500 0.5000  4 C 2.14
C3 0.7500 0.2500 0.5000  4 C 2.14

**Uncorrected energy**: -7.418 eV/atom
**Relative energy among the computed polymorphs**: 1780 meV per atom

Record 4
DFT (PBE-GGA) results for an optimized crystal structure of Re3C4.

a b c (Å): 4.2446 4.2446 4.2446
angles (deg): 90.00 90.00 90.00
Closest atoms and distances in Å follow each position.
Sites, in units of the cell vectors:
Re1 0.0000 0.0000 0.5000  6 C 2.12
C1 0.0000 0.0000 0.0000  6 Re 2.12
C2 0.0000 0.5000 0.5000  4 Re 2.12
C3 0.5000 0.5000 0.0000  4 Re 2.12
Re2 0.0000 0.5000 0.0000  6 C 2.12
C4 0.5000 0.0000 0.5000  4 Re 2.12
Re3 0.5000 0.0000 0.0000  6 C 2.12

**Uncorrected energy**: -9.655 eV/atom
**Relative energy among the computed polymorphs**: 0 meV per atom

Record 5
DFT (PBE-GGA) results for an optimized crystal structure of Re8C.

a b c (Å): 6.0987 6.0987 6.0987
angles (deg): 95.85 95.85 142.77
Closest atoms and distances in Å follow each position.
Sites, in units of the cell vectors:
C1 0.0000 0.0000 0.0000  12 Re 2.75
Re1 0.3324 0.3324 0.6648  10 Re 2.72-2.75, 2 C 2.75
Re2 0.6676 0.3324 0.0000  10 Re 2.72-2.75, 2 C 2.75
Re3 0.6676 0.6676 0.3352  10 Re 2.72-2.75, 2 C 2.75
Re4 0.3366 0.0000 0.3366  11 Re 2.67-2.75, 1 C 2.75
Re5 0.0000 0.6634 0.6634  11 Re 2.67-2.75, 1 C 2.75
Re6 0.6634 0.0000 0.6634  11 Re 2.67-2.75, 1 C 2.75
Re7 0.3324 0.6676 0.0000  10 Re 2.72-2.75, 2 C 2.75
Re8 0.0000 0.3366 0.3366  11 Re 2.67-2.75, 1 C 2.75

**Uncorrected energy**: -11.433 eV/atom

Record 6
DFT (PBE-GGA) results for an optimized crystal structure of Re2C.

a b c (Å): 5.0106 5.0106 5.0418
angles (deg): 90.00 90.00 120.00
Closest atoms and distances in Å follow each position.
Sites, in units of the cell vectors:
C1 0.0000 0.0000 0.0000  6 Re 2.11
C2 0.3333 0.6667 0.5000  6 Re 2.13
Re1 0.3546 0.0000 0.2263  3 C 2.11-2.13
Re2 0.6454 0.6454 0.2263  3 C 2.11-2.13
Re3 0.0000 0.6454 0.7737  3 C 2.11-2.13
Re4 0.3546 0.3546 0.7737  3 C 2.11-2.13
Re5 0.6454 0.0000 0.7737  3 C 2.11-2.13
Re6 0.0000 0.3546 0.2263  3 C 2.11-2.13
C3 0.6667 0.3333 0.5000  6 Re 2.13

**Uncorrected energy**: -11.050 eV/atom
**Relative energy among the computed polymorphs**: 357 meV per atom

Record 7
DFT (PBE-GGA) results for an optimized crystal structure of Re2C.

a b c (Å): 2.8129 2.8129 5.4629
angles (deg): 90.00 90.00 120.00
Closest atoms and distances in Å follow each position.
Sites, in units of the cell vectors:
Re1 0.0000 0.0000 0.7633  3 C 2.17
C1 0.3333 0.6667 0.5000  6 Re 2.17
Re2 0.0000 0.0000 0.2367  3 C 2.17

**Uncorrected energy**: -10.709 eV/atom
**Relative energy among the computed polymorphs**: 698 meV per atom

Record 8
DFT (PBE-GGA) results for an optimized crystal structure of ReC3.

a b c (Å): 4.0857 4.3458 4.3389
angles (deg): 90.00 90.00 90.00
Closest atoms and distances in Å follow each position.
Sites, in units of the cell vectors:
C1 0.0000 0.4273 0.5000  2 C 1.59
C2 0.5000 0.8982 0.1651  2 C 1.43-1.59
C3 0.0000 0.1018 0.6651  2 C 1.43-1.59
C4 0.5000 0.8982 0.8349  2 C 1.43-1.59
C5 0.5000 0.5727 0.0000  2 C 1.59
C6 0.0000 0.1018 0.3349  2 C 1.43-1.59
Re1 0.0000 0.7738 0.0000  8 C 2.04-2.23
Re2 0.5000 0.2262 0.5000  8 C 2.04-2.23

**Uncorrected energy**: -8.392 eV/atom
**Relative energy among the computed polymorphs**: 806 meV per atom

We obtain V values of 17.0 12.2 8.6 10.9 14.5 12.2 12.5 9.6 A^3/atom for the records listed above, in that order.